[1]
The following is a DFT calculation (PBE) of crystalline CaH7Rh2 at its relaxed geometry.

a b c (Å): 3.5487 5.1543 5.1543
angles (deg): 116.52 90.00 90.00
Positions (direct):
Rh  0.5000  0.3060  0.6940
Rh  0.5000  0.6940  0.3060
H  0.5000  0.6685  0.9519
H  0.0000  0.6866  0.3134
H  0.5000  0.0481  0.3315
H  0.5000  0.9519  0.6685
H  0.5000  0.3315  0.0481
H  0.0000  0.3134  0.6866
H  0.5000  0.5000  0.5000
Ca  0.0000  0.0000  0.0000

Output
E, eV/cell: -43.083

***

[2]
The following is a DFT calculation (PBE) of crystalline SrMgAs3 at its relaxed geometry.

a b c (Å): 5.5697 5.5697 5.5697
angles (deg): 90.00 90.00 90.00
Positions (direct):
As  0.5000  0.0000  0.0000
As  0.0000  0.5000  0.0000
As  0.0000  0.0000  0.5000
Sr  0.0000  0.0000  0.0000
Mg  0.5000  0.5000  0.5000

Output
E_form, kcal/mol of atoms: 18.5
Offset from the most stable computed form, eV per atom: 0.951
E, eV/cell: -13.218